(1)
A relaxed structure of BaAuO2. Source: the Alexandria database, functional GGA-PBE.

Calculated values
Space group   No. 123

abc: 3.762 4.344 4.344
angles: 90.00 90.00 90.00
Element x y z (fractional)
O: 0.000 0.000 0.500
O: 0.000 0.500 0.000
Ba: 0.500 0.500 0.500
Au: 0.000 0.000 0.000

***

(2)
A relaxed structure of Ba2AuO. Source: the Alexandria database, functional GGA-PBE.

Calculated values
Space group   No. 166

abc: 4.170 4.170 8.070
angles: 90.00 104.96 120.03
Element x y z (fractional)
Ba: 0.468 0.734 0.202
Ba: 0.532 0.266 0.798
O: 0.000 0.000 0.000
Au: 0.000 0.500 0.500

***

(3)
A relaxed structure of Ba8Au2O. Source: the Alexandria database, functional GGA-PBE.

Calculated values
Space group   No. 12

abc: 7.962 8.292 8.722
angles: 89.50 117.16 90.00
Element x y z (fractional)
Ba: 0.264 0.770 0.064
Ba: 0.201 0.099 0.402
Ba: 0.300 0.605 0.600
Ba: 0.700 0.395 0.400
Ba: 0.736 0.230 0.936
Ba: 0.799 0.901 0.598
Ba: 0.800 0.770 0.064
Ba: 0.200 0.230 0.936
O: 0.000 0.000 0.000
Au: 0.108 0.455 0.216
Au: 0.892 0.545 0.784

***

Calculated E_form (uncorrected) (eV/atom), listed in the same order as above: -1.355; -1.413; -0.657
Calculated spin magnetization (μB/f.u.), listed in the same order as above: 0.00; 0.14; 0.67